Density functional theory data (PBE with a Hubbard U) for a relaxed structure of CdGaNiF6.

Unit cell a=5.4723 b=5.4723 c=9.0844 alpha=90.00 beta=90.00 gamma=120.00
Space group P-31c (No. 163)
Inequivalent atoms, fractional coordinates:
Cd  0.3333  0.6667  0.2500 x2
Ga  0.3333  0.6667  0.7500 x2
Ni  0.0000  0.0000  0.0000 x2
F  0.0529  0.3461  0.6237 x12

Summary:
Density of states at the Fermi level: 2.1 states/eV/f.u.
Calculated total energy: -4.05 eV per atom
Spin magnetization: 1.7 μB per formula unit